No. 1
Below is CdMo2Au at its PBEsol-relaxed geometry, with properties calculated at the SCAN level.

a = 3.2364 Å, b = 4.4641 Å, c = 9.2140 Å
α = 90.00°, β = 90.00°, γ = 90.00°
Last column: nearest neighbours and their distance in Å.
Space group Cmm2 (No. 35)
Unique sites:
Cd 0.0000 0.0000 0.0000 [2 per cell]  4 Cd 2.76, 2 Mo 2.91, 2 Au 2.92
Mo 0.0000 0.0000 0.5130 [2 per cell]  6 Mo 2.63-2.76, 2 Au 2.81
Mo 0.0000 0.5000 0.7374 [2 per cell]  6 Mo 2.63-2.76, 2 Cd 2.91
Au 0.0000 0.5000 0.2634 [2 per cell]  4 Au 2.76, 2 Mo 2.81, 2 Cd 2.92

Output
The calculation puts the density of states at the Fermi level at 2.31 states/eV/f.u. For the volume, the calculation gives 133.1 Å³/cell. As for the crystal system: orthorhombic. The calculation puts the formation energy at 0.150 eV/atom. As for the theoretical density: 12.5 g/cm³.


No. 2
Below is YReHg2 at its PBEsol-relaxed geometry, with properties calculated at the SCAN level.

a = 4.1967 Å, b = 4.1967 Å, c = 9.0074 Å
α = 90.00°, β = 90.00°, γ = 90.00°
Last column: nearest neighbours and their distance in Å.
Space group I-4m2 (No. 119)
Unique sites:
Y 0.0000 0.0000 0.0000 [2 per cell]  8 Hg 2.97-3.08, 4 Re 3.08
Re 0.0000 0.5000 0.7500 [2 per cell]  8 Hg 2.97-3.08, 4 Y 3.08
Hg 0.0000 0.0000 0.5000 [2 per cell]  4 Y 2.97, 4 Hg 3.08, 4 Re 3.08
Hg 0.0000 0.5000 0.2500 [2 per cell]  4 Re 2.97, 4 Hg 3.08, 4 Y 3.08

Output
The calculation puts the density of states at the Fermi level at 1.84 states/eV/f.u. For the volume, the calculation gives 158.6 Å³/cell. As for the crystal system: tetragonal. The calculation puts the formation energy at 0.288 eV/atom. As for the theoretical density: 14.2 g/cm³.